(1)
Entry from Alexandria: a geometry-optimized ThMnSiNi6 structure (PBE).

POSCAR file:
```
ThMnSiNi6
1.0
-1.819 2.993 -5.374
-7.496 -3.016 0.858
3.345 4.039 4.946
Si Ni Mn Th
2 12 2 2
Direct
0.500 0.500 0.000 Si
0.500 0.000 0.000 Si
0.319 0.622 0.241 Ni
0.578 0.828 0.155 Ni
0.681 0.880 0.759 Ni
0.923 0.120 0.241 Ni
0.681 0.378 0.759 Ni
0.923 0.622 0.241 Ni
0.422 0.172 0.845 Ni
0.077 0.880 0.759 Ni
0.020 0.770 0.040 Ni
0.980 0.230 0.960 Ni
0.077 0.378 0.759 Ni
0.319 0.120 0.241 Ni
0.000 0.000 0.500 Mn
0.500 0.000 0.500 Mn
0.731 0.481 0.462 Th
0.269 0.519 0.538 Th
```

Computed properties:
- E_form (uncorrected): -0.0155 eV per atom

---

(2)
Entry from Alexandria: a geometry-optimized Th2MnSi4Ni3 structure (PBE).

POSCAR file:
```
Th2MnSi4Ni3
1.0
-3.565 1.333 -1.455
-0.322 -3.357 -2.287
-4.631 -4.487 7.237
Ni Th Si Mn
3 2 4 1
Direct
0.000 0.000 0.500 Ni
0.500 0.000 0.882 Ni
0.000 0.500 0.118 Ni
0.000 0.500 0.753 Th
0.500 0.000 0.247 Th
0.000 0.000 0.000 Si
0.500 0.000 0.634 Si
0.000 0.500 0.366 Si
0.500 0.500 0.000 Si
0.500 0.500 0.500 Mn
```

Computed properties:
- E_form (uncorrected): -0.7838 eV per atom

---

(3)
Entry from Alexandria: a geometry-optimized Ti2MnSiNi structure (PBE).

POSCAR file:
```
Ti2MnSiNi
1.0
-2.439 3.636 1.549
-1.642 -2.375 2.989
3.500 1.143 2.831
Ti Si Mn Ni
2 1 1 1
Direct
0.000 0.000 0.500 Ti
0.500 0.000 0.000 Ti
0.000 0.000 0.000 Si
0.500 0.500 0.500 Mn
0.000 0.500 0.000 Ni
```

Computed properties:
- E_form (uncorrected): 0.4314 eV per atom

---

(4)
Entry from Alexandria: a geometry-optimized Tm2MnSi3Ni4 structure (PBE).

POSCAR file:
```
Tm2MnSi3Ni4
1.0
-1.572 -1.731 3.141
-0.871 -3.142 -2.168
8.589 -3.874 2.164
Mn Ni Tm Si
1 4 2 3
Direct
0.500 0.500 0.500 Mn
0.000 0.000 0.000 Ni
0.500 0.500 0.000 Ni
0.500 0.000 0.638 Ni
0.000 0.500 0.362 Ni
0.000 0.500 0.752 Tm
0.500 0.000 0.248 Tm
0.000 0.000 0.500 Si
0.500 0.000 0.872 Si
0.000 0.500 0.128 Si
```

Computed properties:
- E_form (uncorrected): -0.6947 eV per atom

---

(5)
Entry from Alexandria: a geometry-optimized Tm2MnSi4Ni3 structure (PBE).

POSCAR file:
```
Tm2MnSi4Ni3
1.0
-1.099 2.921 2.324
-3.249 -1.940 0.903
4.598 -4.220 7.479
Ni Si Tm Mn
3 4 2 1
Direct
0.000 0.000 0.500 Ni
0.000 0.500 0.127 Ni
0.500 0.000 0.873 Ni
0.500 0.000 0.637 Si
0.000 0.000 0.000 Si
0.000 0.500 0.363 Si
0.500 0.500 0.000 Si
0.500 0.000 0.245 Tm
0.000 0.500 0.755 Tm
0.500 0.500 0.500 Mn
```

Computed properties:
- E_form (uncorrected): -0.7737 eV per atom

---

(6)
Entry from Alexandria: a geometry-optimized UMnSi4Ni2 structure (PBE).

POSCAR file:
```
UMnSi4Ni2
1.0
-1.876 -2.520 -2.306
1.063 -0.392 -3.729
5.170 -7.020 0.175
Si U Mn Ni
4 1 1 2
Direct
0.869 0.869 0.393 Si
0.131 0.131 0.607 Si
0.404 0.404 0.787 Si
0.596 0.596 0.213 Si
0.000 0.000 0.000 U
0.500 0.500 0.500 Mn
0.231 0.231 0.306 Ni
0.769 0.769 0.694 Ni
```

Computed properties:
- E_form (uncorrected): -0.3686 eV per atom

---

(7)
Entry from Alexandria: a geometry-optimized U2MnSi4Ni3 structure (PBE).

POSCAR file:
```
U2MnSi4Ni3
1.0
3.967 0.000 0.000
0.000 3.967 0.000
0.000 0.000 9.356
Ni Si U Mn
3 4 2 1
Direct
0.500 0.000 0.877 Ni
0.000 0.500 0.123 Ni
0.000 0.000 0.500 Ni
0.000 0.000 0.000 Si
0.500 0.000 0.633 Si
0.000 0.500 0.367 Si
0.500 0.500 0.000 Si
0.500 0.000 0.255 U
0.000 0.500 0.745 U
0.500 0.500 0.500 Mn
```

Computed properties:
- E_form (uncorrected): -0.5494 eV per atom

---

(8)
Entry from Alexandria: a geometry-optimized YMnSi3Ni structure (PBE).

POSCAR file:
```
YMnSi3Ni
1.0
5.521 0.000 0.000
0.000 5.970 0.000
0.000 -2.985 6.309
Y Mn Ni Si
2 2 2 6
Direct
0.250 0.715 0.430 Y
0.750 0.285 0.570 Y
0.250 0.043 0.086 Mn
0.750 0.957 0.914 Mn
0.250 0.385 0.770 Ni
0.750 0.615 0.230 Ni
0.000 0.298 0.000 Si
0.750 0.785 0.571 Si
0.250 0.215 0.429 Si
0.000 0.702 0.000 Si
0.500 0.702 0.000 Si
0.500 0.298 0.000 Si
```

Computed properties:
- E_form (uncorrected): -0.3168 eV per atom

---

(9)
Entry from Alexandria: a geometry-optimized Y2MnSi3Ni12 structure (PBE).

POSCAR file:
```
Y2MnSi3Ni12
1.0
8.735 1.592 1.129
5.698 6.809 1.129
5.698 3.317 6.053
Si Ni Y Mn
3 12 2 1
Direct
0.000 0.500 0.000 Si
0.500 0.000 0.000 Si
0.000 0.000 0.500 Si
0.071 0.643 0.071 Ni
0.813 0.410 0.410 Ni
0.410 0.410 0.813 Ni
0.590 0.590 0.187 Ni
0.590 0.187 0.590 Ni
0.929 0.929 0.357 Ni
0.410 0.813 0.410 Ni
0.929 0.357 0.929 Ni
0.187 0.590 0.590 Ni
0.643 0.071 0.071 Ni
0.071 0.071 0.643 Ni
0.357 0.929 0.929 Ni
0.650 0.650 0.650 Y
0.350 0.350 0.350 Y
0.000 0.000 0.000 Mn
```

Computed properties:
- E_form (uncorrected): -0.0709 eV per atom

---

(10)
Entry from Alexandria: a geometry-optimized MnZnSiNi2 structure (PBE).

POSCAR file:
```
MnZnSiNi2
1.0
-4.080 0.937 -0.983
-1.413 -3.327 2.694
-0.166 2.747 3.305
Ni Si Mn Zn
2 1 1 1
Direct
0.500 0.000 0.000 Ni
0.000 0.000 0.500 Ni
0.500 0.500 0.500 Si
0.000 0.500 0.000 Mn
0.000 0.000 0.000 Zn
```

Computed properties:
- E_form (uncorrected): 0.9573 eV per atom

---

(11)
Entry from Alexandria: a geometry-optimized ZrMnSi2Ni structure (PBE).

POSCAR file:
```
ZrMnSi2Ni
1.0
-0.357 -0.461 -3.772
1.610 -3.450 0.270
-4.978 -0.023 2.405
Mn Ni Si Zr
1 1 2 1
Direct
0.750 0.250 0.500 Mn
0.250 0.750 0.500 Ni
0.377 0.377 0.755 Si
0.623 0.623 0.245 Si
0.000 0.000 0.000 Zr
```

Computed properties:
- E_form (uncorrected): -0.6502 eV per atom
- ΔE to the lowest computed polymorph: 0 meV/atom

---

(12)
Entry from Alexandria: a geometry-optimized ZrMnSi2Ni structure (PBE).

POSCAR file:
```
ZrMnSi2Ni
1.0
-1.206 -4.474 1.737
1.820 -1.929 -3.706
4.373 -0.287 2.297
Ni Si Zr Mn
1 2 1 1
Direct
0.000 0.500 0.000 Ni
0.500 0.000 0.000 Si
0.000 0.000 0.500 Si
0.000 0.000 0.000 Zr
0.500 0.500 0.500 Mn
```

Computed properties:
- E_form (uncorrected): 1.6430 eV per atom
- ΔE to the lowest computed polymorph: 2293 meV/atom